Below is an optimized crystal structure of HoMg2In3Ge2Pt, with properties calculated at the PBE level.

Computed properties:
Electronic total energy in Ry/atom: -0.2852
SG: No. 38

```
data_HoMg2In3Ge2Pt
_chemical_formula_sum 'Ho1 Mg2 In3 Ge2 Pt1'
_cell_length_a 4.2480
_cell_length_b 7.2271
_cell_length_c 7.2271
_cell_angle_alpha 118.97
_cell_angle_beta 90.00
_cell_angle_gamma 90.00
_symmetry_space_group_name_H-M 'P 1'
_symmetry_Int_Tables_number 1
_symmetry_space_group_name_Hall 'P 1'
loop_
_atom_site_label
_atom_site_type_symbol
_atom_site_fract_x
_atom_site_fract_y
_atom_site_fract_z
_atom_site_occupancy
Ho1 Ho 0.0000 0.0000 0.0000 1
Mg1 Mg 0.0000 0.4048 0.8000 1
Mg2 Mg 0.0000 0.8000 0.4048 1
In1 In 0.5000 0.1576 0.4120 1
In2 In 0.5000 0.4120 0.1576 1
In3 In 0.5000 0.6594 0.6594 1
Ge1 Ge 0.5000 0.0823 0.7471 1
Ge2 Ge 0.5000 0.7471 0.0823 1
Pt1 Pt 0.0000 0.4148 0.4148 1
```